The following is a PBE+U calculation of crystalline Rb2CrWF6 at its relaxed geometry, from Alexandria.

a b c (Å): 6.3136 6.3136 6.3136
angles (deg): 118.96 118.96 91.81
Fractional coordinates of all 10 atoms:
1 Rb 0.2500 0.7500 0.5000
2 Rb 0.7500 0.2500 0.5000
3 Cr 0.0000 0.0000 0.0000
4 W 0.5000 0.5000 0.0000
5 F 0.2580 0.2580 0.0000
6 F 0.2658 0.2658 0.5317
7 F 0.2658 0.7342 0.0000
8 F 0.7342 0.2658 0.0000
9 F 0.7342 0.7342 0.4683
10 F 0.7420 0.7420 0.0000

Values from the calculation:
As for the space-group type: I4/mmm, No. 139. Its density of states at the Fermi level is 0.2 states/eV/cell. The raw total energy comes out at -52.32 eV/cell. The calculation puts the total magnetization at 8.00 μB per cell.